Material: NiF
Method: DFT, GGA+U
State: optimized geometry

```
NiF
1.0
2.934 0.038 0.005
1.434 2.559 0.005
1.446 0.860 6.817
Ni F
2 2
direct
0.656 0.873 0.927 Ni
0.094 0.312 0.612 Ni
0.480 0.698 0.452 F
0.269 0.487 0.086 F
```

**Space group**: R-3m, No. 166
**M_tot**: 3.33 μB per cell
**Uncorrected energy**: -13.06 eV for the cell shown